Record 1
The following is a DFT calculation (GGA-PBE) of a geometry-optimized RbMn2In2 structure.

Cell lengths 5.055, 5.055, 5.920 Å; angles 64.73, 64.73, 90.00 degrees
Site moments in Bohr magnetons follow the coordinates.
Sites, in units of the cell vectors:
1 Mn 0.396 0.396 0.208  1.66
2 Mn 0.604 0.604 0.792  1.66
3 In 0.250 0.750 0.500  -0.03
4 In 0.750 0.250 0.500  -0.03
5 Rb 0.000 0.000 0.000  -0.01

Values from the calculation:
The calculation puts the calculated total energy at -21.3 eV for the cell shown. The calculated formation energy is 690 meV/atom. For the density of states at the Fermi level, the calculation gives 4.9 states/eV/cell.

***

Record 2
The following is a DFT calculation (GGA-PBE) of a geometry-optimized NbHgTe2 structure.

Cell lengths 25.771, 7.596, 7.596 Å; angles 130.72, 152.20, 27.80 degrees
Sites, in units of the cell vectors:
1 Nb 0.754 0.314 0.326
2 Nb 0.254 0.174 0.186
3 Te 0.822 0.801 0.383
4 Te 0.687 0.370 0.814
5 Te 0.322 0.117 0.699
6 Te 0.187 0.686 0.130
7 Hg 0.754 0.763 0.775
8 Hg 0.254 0.725 0.737

Values from the calculation:
The calculation puts the calculated total energy at -34.3 eV for the cell shown. The uncorrected formation energy is -0.5 eV/f.u. For the density of states at the Fermi level, the calculation gives 5.5 states/eV/cell.

***

Record 3
The following is a DFT calculation (GGA-PBE) of a geometry-optimized TbNd10Y6 structure.

Cell lengths 6.946, 9.890, 9.890 Å; angles 120.00, 90.00, 90.00 degrees
Sites, in units of the cell vectors:
1 Nd 0.500 0.667 0.333
2 Nd 0.500 0.333 0.667
3 Nd 0.000 0.667 0.333
4 Nd 0.818 0.275 0.000
5 Nd 0.000 0.333 0.667
6 Nd 0.818 0.000 0.275
7 Nd 0.182 0.725 0.000
8 Nd 0.182 0.000 0.725
9 Nd 0.182 0.275 0.275
10 Nd 0.818 0.725 0.725
11 Y 0.312 0.000 0.369
12 Y 0.688 0.000 0.631
13 Y 0.312 0.369 0.000
14 Y 0.688 0.369 0.369
15 Y 0.312 0.631 0.631
16 Y 0.688 0.631 0.000
17 Tb 0.500 0.000 0.000

Values from the calculation:
The calculation puts the calculated total energy at -88.9 eV for the cell shown. The calculated formation energy is 130 meV/atom. For the density of states at the Fermi level, the calculation gives 26.4 states/eV/cell.

***

Record 4
The following is a DFT calculation (GGA-PBE) of a geometry-optimized Sm7YEr2 structure.

Cell lengths 6.233, 9.515, 9.521 Å; angles 141.80, 71.04, 102.53 degrees
Sites, in units of the cell vectors:
1 Sm 0.500 0.500 0.000
2 Sm 0.001 0.398 0.598
3 Sm 0.500 0.300 0.199
4 Sm 0.998 0.801 0.201
5 Sm 0.500 0.700 0.801
6 Sm 0.002 0.199 0.799
7 Sm 0.999 0.602 0.402
8 Er 0.500 0.900 0.600
9 Er 0.500 0.100 0.400
10 Y 0.000 0.000 0.000

Values from the calculation:
The calculation puts the calculated total energy at -48.4 eV for the cell shown. The calculated formation energy is 17 meV/atom. For the density of states at the Fermi level, the calculation gives 14.5 states/eV/cell.

***

Record 5
The following is a DFT calculation (GGA-PBE) of a geometry-optimized Tc3O12F structure.

Cell lengths 8.763, 8.763, 10.531 Å; angles 65.41, 65.41, 60.00 degrees
Site moments in Bohr magnetons follow the coordinates.
Sites, in units of the cell vectors:
1 O 0.112 0.056 0.154  0.11
2 O 0.185 0.786 0.834  0.64
3 O 0.801 0.396 0.988  0.13
4 O 0.194 0.185 0.834  0.64
5 O 0.685 0.694 0.334  0.64
6 O 0.436 0.111 0.989  0.19
7 O 0.678 0.112 0.154  0.11
8 O 0.964 0.611 0.489  0.19
9 O 0.315 0.896 0.488  0.13
10 O 0.815 0.801 0.988  0.13
11 O 0.556 0.612 0.654  0.11
12 O 0.056 0.678 0.154  0.11
13 O 0.896 0.301 0.488  0.13
14 O 0.301 0.315 0.488  0.13
15 O 0.396 0.815 0.988  0.13
16 O 0.612 0.178 0.654  0.11
17 O 0.286 0.685 0.334  0.64
18 O 0.786 0.194 0.834  0.64
19 O 0.464 0.436 0.989  0.19
20 O 0.111 0.464 0.989  0.19
21 O 0.694 0.286 0.334  0.64
22 O 0.178 0.556 0.654  0.11
23 O 0.936 0.964 0.489  0.19
24 O 0.611 0.936 0.489  0.19
25 Tc 0.282 0.040 0.995  -0.14
26 Tc 0.782 0.184 0.495  -0.14
27 Tc 0.540 0.782 0.495  -0.14
28 Tc 0.184 0.540 0.495  -0.14
29 Tc 0.684 0.282 0.995  -0.14
30 Tc 0.040 0.684 0.995  -0.14
31 F 0.023 0.023 0.932  0.55
32 F 0.523 0.523 0.432  0.55

Values from the calculation:
The calculation puts the calculated total energy at -210.1 eV for the cell shown. The uncorrected formation energy is -12.6 eV/f.u. For the density of states at the Fermi level, the calculation gives 29.3 states/eV/cell.

***

Record 6
The following is a DFT calculation (GGA-PBE) of a geometry-optimized AsWIN2 structure.

Cell lengths 3.992, 3.992, 5.850 Å; angles 90.00, 90.00, 90.00 degrees
Site moments in Bohr magnetons follow the coordinates.
Sites, in units of the cell vectors:
1 W 0.000 0.000 0.000  -0.02
2 I 0.000 0.000 0.500  0.00
3 N 0.500 0.000 0.000  0.10
4 N 0.000 0.500 0.000  0.10
5 As 0.500 0.500 0.500  0.38

Values from the calculation:
The calculation puts the calculated total energy at -31.5 eV for the cell shown. The uncorrected formation energy is 4.3 eV/f.u. For the density of states at the Fermi level, the calculation gives 3.2 states/eV/cell.

***

Record 7
The following is a DFT calculation (GGA-PBE) of a geometry-optimized MnIrW2N structure.

Cell lengths 4.085, 4.085, 3.836 Å; angles 90.00, 90.00, 90.00 degrees
Sites, in units of the cell vectors:
1 W 0.500 0.000 0.000
2 W 0.000 0.500 0.000
3 Mn 0.000 0.000 0.500
4 Ir 0.500 0.500 0.500
5 N 0.000 0.000 0.000

Values from the calculation:
The calculation puts the calculated total energy at -53.0 eV for the cell shown. The uncorrected formation energy is -0.7 eV/f.u. For the density of states at the Fermi level, the calculation gives 4.9 states/eV/cell.

***

Record 8
The following is a DFT calculation (GGA-PBE) of a geometry-optimized NiPb2Se structure.

Cell lengths 6.345, 6.345, 7.635 Å; angles 65.45, 65.45, 90.00 degrees
Sites, in units of the cell vectors:
1 Ni 0.250 0.750 0.500
2 Ni 0.500 0.500 0.000
3 Pb 0.574 0.125 0.250
4 Pb 0.375 0.426 0.750
5 Pb 0.875 0.824 0.750
6 Pb 0.176 0.625 0.250
7 Se 0.000 0.000 0.000
8 Se 0.750 0.250 0.500

Values from the calculation:
The calculation puts the calculated total energy at -32.5 eV for the cell shown. The uncorrected formation energy is 0.4 eV/f.u. For the density of states at the Fermi level, the calculation gives 0.8 states/eV/cell.

***

Record 9
The following is a DFT calculation (GGA-PBE) of a geometry-optimized MoIr2Rh structure.

Cell lengths 4.400, 4.400, 4.400 Å; angles 60.00, 60.00, 60.00 degrees
Sites, in units of the cell vectors:
1 Ir 0.250 0.250 0.250
2 Ir 0.750 0.750 0.750
3 Mo 0.000 0.000 0.000
4 Rh 0.500 0.500 0.500

Values from the calculation:
The calculation puts the calculated total energy at -35.1 eV for the cell shown. The calculated formation energy is 205 meV/atom. For the density of states at the Fermi level, the calculation gives 5.1 states/eV/cell.

***

Record 10
The following is a DFT calculation (GGA-PBE) of a geometry-optimized Ho3Er3Al structure.

Cell lengths 5.420, 9.229, 9.227 Å; angles 120.06, 90.00, 90.00 degrees
Sites, in units of the cell vectors:
1 Al 0.250 0.667 0.333
2 Al 0.750 0.333 0.667
3 Ho 0.750 0.485 0.378
4 Ho 0.250 0.106 0.485
5 Ho 0.250 0.378 0.894
6 Ho 0.750 0.622 0.106
7 Ho 0.250 0.515 0.622
8 Ho 0.750 0.894 0.515
9 Er 0.250 0.932 0.754
10 Er 0.750 0.178 0.932
11 Er 0.250 0.822 0.068
12 Er 0.750 0.068 0.246
13 Er 0.250 0.246 0.178
14 Er 0.750 0.754 0.822

Values from the calculation:
The calculation puts the calculated total energy at -63.2 eV for the cell shown. The calculated formation energy is -61 meV/atom. For the density of states at the Fermi level, the calculation gives 18.1 states/eV/cell.

***

Record 11
The following is a DFT calculation (GGA-PBE) of a geometry-optimized SrBSb2 structure.

Cell lengths 7.417, 7.417, 6.475 Å; angles 55.06, 55.06, 90.00 degrees
Sites, in units of the cell vectors:
1 Sb 0.230 0.625 0.250
2 Sb 0.375 0.480 0.750
3 Sb 0.520 0.125 0.250
4 Sb 0.875 0.770 0.750
5 B 0.250 0.750 0.500
6 B 0.500 0.500 0.000
7 Sr 0.000 0.000 0.000
8 Sr 0.750 0.250 0.500

Values from the calculation:
The calculation puts the calculated total energy at -33.9 eV for the cell shown. The uncorrected formation energy is -0.3 eV/f.u. For the density of states at the Fermi level, the calculation gives 1.5 states/eV/cell.